[1]
A plane-wave DFT calculation with GGA-PBE was carried out for a relaxed CsAgGe3 crystal.

Geometry as POSCAR:
```
CsAgGe3
1.0
5.751 0.000 0.000
0.000 5.751 0.000
0.000 0.000 5.751
Cs Ag Ge
1 1 3
Cartesian
0.000 0.000 0.000
2.876 2.876 2.876
0.000 0.000 2.876
0.000 2.876 0.000
2.876 0.000 0.000
```

E_tot, eV per atom: -1.60
ρ, g cm⁻³: 4.00
Formation energy from the elements, meV/atom: 1908.7
SG: Pm-3m

---

[2]
A plane-wave DFT calculation with GGA-PBE was carried out for a relaxed Li2HgAs2 crystal.

Geometry as POSCAR:
```
Li2HgAs2
1.0
4.928 0.000 0.000
0.000 4.928 0.000
0.000 0.000 8.972
Li Hg As
4 2 4
Cartesian
0.000 2.464 2.243
0.000 2.464 6.729
2.464 0.000 2.243
2.464 0.000 6.729
0.000 0.000 0.000
2.464 2.464 4.486
0.000 0.000 3.305
0.000 0.000 5.667
2.464 2.464 1.181
2.464 2.464 7.791
```

E_tot, eV per atom: -2.85
ρ, g cm⁻³: 5.55
Formation energy from the elements, meV/atom: -162.9
SG: I4/mmm

---

[3]
A plane-wave DFT calculation with GGA-PBE was carried out for a relaxed CsSrBi crystal.

Geometry as POSCAR:
```
CsSrBi
1.0
6.004 0.000 0.000
-3.002 5.200 0.000
0.000 0.000 9.194
Cs Sr Bi
2 2 2
Cartesian
0.000 0.000 0.000
0.000 0.000 4.597
0.000 3.466 1.628
3.002 1.733 7.566
0.000 3.466 7.193
3.002 1.733 2.001
```

E_tot, eV per atom: -2.73
ρ, g cm⁻³: 4.97
Formation energy from the elements, meV/atom: -595.8
SG: P-3m1

---

[4]
A plane-wave DFT calculation with GGA-PBE was carried out for a relaxed HfUSn crystal.

Geometry as POSCAR:
```
HfUSn
1.0
3.424 0.000 0.000
0.000 3.424 0.000
0.000 0.000 24.334
Hf U Sn
4 4 4
Cartesian
0.000 0.000 3.388
0.000 0.000 20.946
1.712 1.712 8.779
1.712 1.712 15.555
0.000 0.000 6.665
0.000 0.000 17.669
1.712 1.712 5.502
1.712 1.712 18.832
0.000 0.000 10.711
0.000 0.000 13.623
1.712 1.712 1.456
1.712 1.712 22.878
```

E_tot, eV per atom: -8.42
ρ, g cm⁻³: 12.46
Formation energy from the elements, meV/atom: -2.9
SG: I4/mmm

---

[5]
A plane-wave DFT calculation with GGA-PBE was carried out for a relaxed NaFe2Sb2 crystal.

Geometry as POSCAR:
```
NaFe2Sb2
1.0
7.544 0.000 0.000
0.000 7.544 0.000
0.000 0.000 3.031
Na Fe Sb
2 4 4
Cartesian
0.000 0.000 0.000
3.772 3.772 0.000
0.992 2.780 0.000
2.780 6.552 0.000
4.764 0.992 0.000
6.552 4.764 0.000
1.202 4.974 1.515
2.571 1.202 1.515
4.974 6.343 1.515
6.343 2.571 1.515
```

E_tot, eV per atom: -5.08
ρ, g cm⁻³: 7.28
SG: P4/mbm

---

[6]
A plane-wave DFT calculation with GGA-PBE was carried out for a relaxed TiCo3Cu crystal.

Geometry as POSCAR:
```
TiCo3Cu
1.0
4.227 0.000 0.000
0.000 4.227 0.000
0.000 0.000 4.227
Ti Co Cu
1 3 1
Cartesian
0.000 0.000 0.000
0.000 0.000 2.113
0.000 2.113 0.000
2.113 0.000 0.000
2.113 2.113 2.113
```

E_tot, eV per atom: -5.50
ρ, g cm⁻³: 6.34
Formation energy from the elements, meV/atom: 1165.7
SG: Pm-3m

---

> E_tot of number 2 (Li2HgAs2)?

-2.85 eV per atom

---

> What is the ρ in the second record?

5.55 g cm⁻³